Below is an optimized crystal structure of V2MoO8, with properties calculated at the GGA+U level.

a = 3.7117 Å, b = 19.4003 Å, c = 4.3003 Å
α = 90.00°, β = 90.00°, γ = 90.00°
Space group Cmm2 (No. 35)
Inequivalent atoms, fractional coordinates:
V1 0.0000 0.1878 0.0000 (multiplicity 4)
Mo1 0.0000 0.0000 0.9720 (multiplicity 2)
O1 0.0000 0.0000 0.3720 (multiplicity 2)
O2 0.0000 0.0980 0.8931 (multiplicity 4)
O3 0.0000 0.1851 0.3759 (multiplicity 4)
O4 0.0000 0.2905 0.9183 (multiplicity 4)
O5 0.0000 0.5000 0.8772 (multiplicity 2)

Computed properties:
* calculated total energy: -7.27 eV/atom
* crystal system: orthorhombic
* E above lowest polymorph: 0.017 eV per atom
* spin magnetization: 0.0 μB per cell
* mass density: 3.5 g/cm³